Density functional theory data (PBE) for crystalline SrYBi2 at its relaxed geometry.

It has space group P4/mmm (No. 123), with a = 4.110 Å, b = 4.110 Å, c = 7.726 Å, α = 90.00°, β = 90.00° and γ = 90.00°. The distinct sites, in fractional coordinates, are Sr at (0.000, 0.000, 0.000), Y at (0.000, 0.000, 0.500) and Bi at (0.500, 0.500, 0.275).

The value obtained for the calculated formation energy is -696 meV/atom. The calculated total energy is -4.67 eV per atom. Its density of states at the Fermi level is 0.69 states/eV per atom. The value obtained for the excess energy over the best structure of this formula in the dataset is 0.343 eV per formula unit.